Entry from the Alexandria database: a relaxed CsCdAs2O6 crystal (PBE).

```
data_CsCdAs2O6
_chemical_formula_sum 'Cs2 Cd2 As4 O12'
_symmetry_space_group_name_H-M 'P 1'
_symmetry_Int_Tables_number 1
_symmetry_space_group_name_Hall 'P 1'
_cell_length_a 7.503
_cell_length_b 7.503
_cell_length_c 6.232
_cell_angle_alpha 101.46
_cell_angle_beta 101.46
_cell_angle_gamma 88.04
loop_
_atom_site_label
_atom_site_type_symbol
_atom_site_fract_x
_atom_site_fract_y
_atom_site_fract_z
Cs1 Cs 0.205 0.795 0.750
Cs2 Cs 0.795 0.205 0.250
Cd1 Cd 0.396 0.604 0.250
Cd2 Cd 0.604 0.396 0.750
As1 As 0.133 0.295 0.813
As2 As 0.295 0.133 0.313
As3 As 0.705 0.867 0.687
As4 As 0.867 0.705 0.187
O1 O 0.073 0.602 0.247
O2 O 0.146 0.167 0.043
O3 O 0.167 0.146 0.543
O4 O 0.321 0.441 0.891
O5 O 0.398 0.927 0.253
O6 O 0.441 0.321 0.391
O7 O 0.559 0.679 0.609
O8 O 0.602 0.073 0.747
O9 O 0.679 0.559 0.109
O10 O 0.833 0.854 0.457
O11 O 0.854 0.833 0.957
O12 O 0.927 0.398 0.753
```

Computed properties:
Final energy (eV per atom): -5.325
Raw formation energy (eV per atom): -1.243